TiCrAsRh2: relaxed, PBE.

Properties
* density of states at the Fermi level: 0.636 states/eV per atom
* ΔE_f: 0.83 eV/atom

abc: 4.513 4.513 4.671
angles: 90.00 90.00 90.00
Space group P4/mmm (No. 123)
One atom of each set of equivalent atoms:
Ti  0.000  0.000  0.000 [1 per cell]
Cr  0.000  0.000  0.500 [1 per cell]
As  0.500  0.500  0.500 [1 per cell]
Rh  0.000  0.500  0.000 [2 per cell]



Np4USe6: relaxed, PBE.

Properties
* density of states at the Fermi level: 3.379 states/eV per atom
* ΔE_f (raw): -0.978 eV per atom

abc: 11.6289 11.6289 13.9782
angles: 90.00 90.00 120.00
Space group R-3c (No. 167, hexagonal axes)
One atom of each set of equivalent atoms:
Np  0.0000  0.0000  0.2500 [6 per cell]
Np  0.0000  0.3892  0.2500 [18 per cell]
U  0.0000  0.0000  0.0000 [6 per cell]
Se  0.0322  0.2098  0.3831 [36 per cell]



SbBr2N: relaxed, PBE.

Properties
* ΔE_f (raw): 0.569 eV per atom

abc: 15.805 4.048 8.744
angles: 90.00 90.21 90.00
Space group C2/m (No. 12)
One atom of each set of equivalent atoms:
Sb  0.110  0.000  0.307 [4 per cell]
Br  0.014  0.500  0.743 [4 per cell]
Br  0.234  0.500  0.273 [4 per cell]
N  0.115  0.000  0.067 [4 per cell]



CsBaAsSe4: relaxed, PBE.

Properties
* ΔE_f (raw): -0.989 eV per atom

abc: 7.339 7.302 10.225
angles: 90.00 107.12 90.00
Space group P2_1/m (No. 11)
One atom of each set of equivalent atoms:
Cs  0.232  0.250  0.435 [2 per cell]
Ba  0.266  0.250  0.955 [2 per cell]
As  0.308  0.750  0.192 [2 per cell]
Se  0.103  0.750  0.329 [2 per cell]
Se  0.144  0.750  0.955 [2 per cell]
Se  0.490  0.507  0.766 [4 per cell]



Rb2LiCuCl6: relaxed, PBE.

Properties
* density of states at the Fermi level: 0.641 states/eV per atom
* ΔE_f (raw): -1.254 eV per atom

abc: 7.063 7.063 9.976
angles: 90.00 90.00 90.00
Space group I4/mmm (No. 139)
One atom of each set of equivalent atoms:
Rb  0.000  0.500  0.250 [4 per cell]
Li  0.000  0.000  0.000 [2 per cell]
Cu  0.000  0.000  0.500 [2 per cell]
Cl  0.000  0.000  0.259 [4 per cell]
Cl  0.239  0.239  0.500 [8 per cell]



ZrAg2W: relaxed, PBE.

Properties
* density of states at the Fermi level: 1.175 states/eV per atom
* ΔE_f: 0.41 eV/atom

abc: 4.038 4.038 8.877
angles: 90.00 90.00 90.00
Space group I4/mmm (No. 139)
One atom of each set of equivalent atoms:
Zr  0.000  0.000  0.000 [2 per cell]
Ag  0.000  0.500  0.250 [4 per cell]
W  0.000  0.000  0.500 [2 per cell]



SmEr2MgAu4: relaxed, PBE.

Properties
* density of states at the Fermi level: 0.703 states/eV per atom
* ΔE_f: -0.79 eV/atom

abc: 4.9837 4.9837 24.8608
angles: 90.00 90.00 120.00
Space group R-3m (No. 166, hexagonal axes)
One atom of each set of equivalent atoms:
Sm  0.0000  0.0000  0.0000 [3 per cell]
Er  0.0000  0.0000  0.2439 [6 per cell]
Mg  0.0000  0.0000  0.5000 [3 per cell]
Au  0.0000  0.0000  0.1237 [6 per cell]
Au  0.0000  0.0000  0.3814 [6 per cell]



LiCeZnAu: relaxed, PBE.

Properties
* density of states at the Fermi level: 1.805 states/eV per atom
* ΔE_f: -0.37 eV/atom

abc: 6.963 6.963 6.963
angles: 90.00 90.00 90.00
Space group F-43m (No. 216)
One atom of each set of equivalent atoms:
Li  0.000  0.000  0.000 [4 per cell]
Ce  0.000  0.000  0.500 [4 per cell]
Zn  0.250  0.250  0.750 [4 per cell]
Au  0.250  0.250  0.250 [4 per cell]